P:
First-principles (GGA-PBE) data for an optimized crystal structure of SnGeAsSe2, as listed in Alexandria.

Computed properties:
As for the total magnetic moment: 0.00 μB/atom. For the density, the calculation gives 5.575 g/cm³.

Lattice parameters (Å, degrees): 5.044 5.044 4.966 90.00 90.00 90.00
Space group P4/mmm (No. 123)
Inequivalent atoms, fractional coordinates:
Sn  0.000  0.000  0.000 [1 per cell]
Ge  0.500  0.500  0.500 [1 per cell]
As  0.500  0.500  0.000 [1 per cell]
Se  0.000  0.500  0.500 [2 per cell]

=====

Q:
First-principles (GGA-PBE) data for an optimized crystal structure of SnGeAsSe2, as listed in Alexandria.

Computed properties:
As for the total magnetic moment: 0.00 μB/atom. For the density, the calculation gives 4.878 g/cm³.

Lattice parameters (Å, degrees): 5.264 5.264 5.211 90.00 90.00 90.00
Space group P4/mmm (No. 123)
Inequivalent atoms, fractional coordinates:
Sn  0.000  0.000  0.000 [1 per cell]
Ge  0.500  0.500  0.500 [1 per cell]
As  0.000  0.000  0.500 [1 per cell]
Se  0.000  0.500  0.000 [2 per cell]

=====

Name the most stable of them. P.

=====

P:
First-principles (GGA-PBE) data for an optimized crystal structure of TaGeAs2Se, as listed in Alexandria.

Computed properties:
As for the total magnetic moment: 0.00 μB/atom. For the density, the calculation gives 6.349 g/cm³.

Lattice parameters (Å, degrees): 5.060 5.060 4.927 90.00 90.00 90.00
Space group P4/mmm (No. 123)
Inequivalent atoms, fractional coordinates:
Ta  0.000  0.000  0.000 [1 per cell]
Ge  0.500  0.500  0.500 [1 per cell]
As  0.000  0.500  0.000 [2 per cell]
Se  0.000  0.000  0.500 [1 per cell]

=====

Q:
First-principles (GGA-PBE) data for an optimized crystal structure of TaGeAs2Se, as listed in Alexandria.

Computed properties:
As for the total magnetic moment: 0.00 μB/atom. For the density, the calculation gives 7.263 g/cm³.

Lattice parameters (Å, degrees): 4.777 4.777 4.834 90.00 90.00 90.00
Space group P4/mmm (No. 123)
Inequivalent atoms, fractional coordinates:
Ta  0.000  0.000  0.000 [1 per cell]
Ge  0.500  0.500  0.500 [1 per cell]
As  0.000  0.500  0.500 [2 per cell]
Se  0.500  0.500  0.000 [1 per cell]

=====

Name the most stable of them. P.

=====

P:
First-principles (GGA-PBE) data for an optimized crystal structure of GeTeAsSe2, as listed in Alexandria.

Computed properties:
As for the total magnetic moment: 0.00 μB/atom. For the density, the calculation gives 4.788 g/cm³.

Lattice parameters (Å, degrees): 5.318 5.318 5.311 90.00 90.00 90.00
Space group P4/mmm (No. 123)
Inequivalent atoms, fractional coordinates:
Ge  0.000  0.000  0.000 [1 per cell]
Te  0.500  0.500  0.500 [1 per cell]
As  0.500  0.500  0.000 [1 per cell]
Se  0.000  0.500  0.500 [2 per cell]

=====

Q:
First-principles (GGA-PBE) data for an optimized crystal structure of GeTeAsSe2, as listed in Alexandria.

Computed properties:
As for the total magnetic moment: 0.00 μB/atom. For the density, the calculation gives 5.781 g/cm³.

Lattice parameters (Å, degrees): 4.951 4.951 5.074 90.00 90.00 90.00
Space group P4/mmm (No. 123)
Inequivalent atoms, fractional coordinates:
Ge  0.000  0.000  0.000 [1 per cell]
Te  0.500  0.500  0.500 [1 per cell]
As  0.000  0.000  0.500 [1 per cell]
Se  0.000  0.500  0.000 [2 per cell]

=====

Name the most stable of them. Q.

=====

P:
First-principles (GGA-PBE) data for an optimized crystal structure of TiGeAs2Se, as listed in Alexandria.

Computed properties:
As for the total magnetic moment: 0.00 μB/atom. For the density, the calculation gives 5.020 g/cm³.

Lattice parameters (Å, degrees): 4.841 4.841 4.930 90.00 90.00 90.00
Space group P4/mmm (No. 123)
Inequivalent atoms, fractional coordinates:
Ti  0.000  0.000  0.000 [1 per cell]
Ge  0.500  0.500  0.500 [1 per cell]
As  0.000  0.500  0.500 [2 per cell]
Se  0.500  0.500  0.000 [1 per cell]

=====

Q:
First-principles (GGA-PBE) data for an optimized crystal structure of TiGeAs2Se, as listed in Alexandria.

Computed properties:
As for the total magnetic moment: 0.00 μB/atom. For the density, the calculation gives 4.898 g/cm³.

Lattice parameters (Å, degrees): 4.934 4.934 4.866 90.00 90.00 90.00
Space group P4/mmm (No. 123)
Inequivalent atoms, fractional coordinates:
Ti  0.000  0.000  0.000 [1 per cell]
Ge  0.500  0.500  0.500 [1 per cell]
As  0.000  0.500  0.000 [2 per cell]
Se  0.000  0.000  0.500 [1 per cell]

=====

Name the most stable of them. Q.

=====

P:
First-principles (GGA-PBE) data for an optimized crystal structure of TlGeAsSe2, as listed in Alexandria.

Computed properties:
As for the total magnetic moment: 0.00 μB/atom. For the density, the calculation gives 5.602 g/cm³.

Lattice parameters (Å, degrees): 5.354 5.354 5.272 90.00 90.00 90.00
Space group P4/mmm (No. 123)
Inequivalent atoms, fractional coordinates:
Tl  0.000  0.000  0.000 [1 per cell]
Ge  0.500  0.500  0.500 [1 per cell]
As  0.000  0.000  0.500 [1 per cell]
Se  0.000  0.500  0.000 [2 per cell]

=====

Q:
First-principles (GGA-PBE) data for an optimized crystal structure of TlGeAsSe2, as listed in Alexandria.

Computed properties:
As for the total magnetic moment: 0.11 μB/atom. For the density, the calculation gives 6.367 g/cm³.

Lattice parameters (Å, degrees): 5.152 5.152 5.010 90.00 90.00 90.00
Space group P4/mmm (No. 123)
Inequivalent atoms, fractional coordinates:
Tl  0.000  0.000  0.000 [1 per cell]
Ge  0.500  0.500  0.500 [1 per cell]
As  0.500  0.500  0.000 [1 per cell]
Se  0.000  0.500  0.500 [2 per cell]

=====

Name the most stable of them. Q.

=====

P:
First-principles (GGA-PBE) data for an optimized crystal structure of TlGeAs2Se, as listed in Alexandria.

Computed properties:
As for the total magnetic moment: 0.06 μB/atom. For the density, the calculation gives 5.594 g/cm³.

Lattice parameters (Å, degrees): 5.271 5.271 5.404 90.00 90.00 90.00
Space group P4/mmm (No. 123)
Inequivalent atoms, fractional coordinates:
Tl  0.000  0.000  0.000 [1 per cell]
Ge  0.500  0.500  0.500 [1 per cell]
As  0.000  0.500  0.000 [2 per cell]
Se  0.000  0.000  0.500 [1 per cell]

=====

Q:
First-principles (GGA-PBE) data for an optimized crystal structure of TlGeAs2Se, as listed in Alexandria.

Computed properties:
As for the total magnetic moment: 0.05 μB/atom. For the density, the calculation gives 6.413 g/cm³.

Lattice parameters (Å, degrees): 5.036 5.036 5.164 90.00 90.00 90.00
Space group P4/mmm (No. 123)
Inequivalent atoms, fractional coordinates:
Tl  0.000  0.000  0.000 [1 per cell]
Ge  0.500  0.500  0.500 [1 per cell]
As  0.000  0.500  0.500 [2 per cell]
Se  0.500  0.500  0.000 [1 per cell]

=====

Name the most stable of them. Q.

=====

P:
First-principles (GGA-PBE) data for an optimized crystal structure of VGeAsSe2, as listed in Alexandria.

Computed properties:
As for the total magnetic moment: 0.00 μB/atom. For the density, the calculation gives 5.044 g/cm³.

Lattice parameters (Å, degrees): 4.921 4.921 4.844 90.00 90.00 90.00
Space group P4/mmm (No. 123)
Inequivalent atoms, fractional coordinates:
V  0.000  0.000  0.000 [1 per cell]
Ge  0.500  0.500  0.500 [1 per cell]
As  0.500  0.500  0.000 [1 per cell]
Se  0.000  0.500  0.500 [2 per cell]

=====

Q:
First-principles (GGA-PBE) data for an optimized crystal structure of VGeAsSe2, as listed in Alexandria.

Computed properties:
As for the total magnetic moment: 0.00 μB/atom. For the density, the calculation gives 5.313 g/cm³.

Lattice parameters (Å, degrees): 4.814 4.814 4.807 90.00 90.00 90.00
Space group P4/mmm (No. 123)
Inequivalent atoms, fractional coordinates:
V  0.000  0.000  0.000 [1 per cell]
Ge  0.500  0.500  0.500 [1 per cell]
As  0.000  0.000  0.500 [1 per cell]
Se  0.000  0.500  0.000 [2 per cell]

=====

Name the most stable of them. Q.

=====

P:
First-principles (GGA-PBE) data for an optimized crystal structure of VGeAs2Se, as listed in Alexandria.

Computed properties:
As for the total magnetic moment: 0.02 μB/atom. For the density, the calculation gives 5.338 g/cm³.

Lattice parameters (Å, degrees): 4.825 4.825 4.709 90.00 90.00 90.00
Space group P4/mmm (No. 123)
Inequivalent atoms, fractional coordinates:
V  0.000  0.000  0.000 [1 per cell]
Ge  0.500  0.500  0.500 [1 per cell]
As  0.000  0.500  0.000 [2 per cell]
Se  0.000  0.000  0.500 [1 per cell]

=====

Q:
First-principles (GGA-PBE) data for an optimized crystal structure of VGeAs2Se, as listed in Alexandria.

Computed properties:
As for the total magnetic moment: 0.02 μB/atom. For the density, the calculation gives 5.074 g/cm³.

Lattice parameters (Å, degrees): 4.842 4.842 4.920 90.00 90.00 90.00
Space group P4/mmm (No. 123)
Inequivalent atoms, fractional coordinates:
V  0.000  0.000  0.000 [1 per cell]
Ge  0.500  0.500  0.500 [1 per cell]
As  0.000  0.500  0.500 [2 per cell]
Se  0.500  0.500  0.000 [1 per cell]

=====

Name the most stable of them. P.